(1)
TaBe2Ir2 | GGA-PBE | optimized geometry

```
data_TaBe2Ir2
_chemical_formula_sum 'Ta2 Be4 Ir4'
_space_group_name_H-M_alt 'P 4/m b m'
_space_group_IT_number 127
_space_group_name_Hall '-P 4 2ab'
_cell_length_a 6.7347
_cell_length_b 6.7347
_cell_length_c 2.7749
_cell_angle_alpha 90.00
_cell_angle_beta 90.00
_cell_angle_gamma 90.00
loop_
_atom_site_label
_atom_site_fract_x
_atom_site_fract_y
_atom_site_fract_z
_atom_site_occupancy
Ta1 0.0000 0.0000 0.0000 1
Be1 0.1144 0.3856 0.0000 1
Ir1 0.1788 0.6788 0.5000 1
```

Computed properties:
Total magnetization ... 0.0003 μB per atom

***

(2)
TaBeIr2 | GGA-PBE | optimized geometry

```
data_TaBeIr2
_chemical_formula_sum 'Ta4 Be4 Ir8'
_space_group_name_H-M_alt 'F -4 3 m'
_space_group_IT_number 216
_space_group_name_Hall 'F -4 2 3'
_cell_length_a 6.1437
_cell_length_b 6.1437
_cell_length_c 6.1437
_cell_angle_alpha 90.00
_cell_angle_beta 90.00
_cell_angle_gamma 90.00
loop_
_atom_site_label
_atom_site_fract_x
_atom_site_fract_y
_atom_site_fract_z
_atom_site_occupancy
Ta1 0.0000 0.0000 0.0000 1
Be1 0.2500 0.2500 0.7500 1
Ir1 0.0000 0.0000 0.5000 1
Ir2 0.2500 0.2500 0.2500 1
```

Computed properties:
Total magnetization ... 0.0943 μB per atom

***

(3)
Be2TcIr2 | GGA-PBE | optimized geometry

```
data_Be2TcIr2
_chemical_formula_sum 'Be4 Tc2 Ir4'
_space_group_name_H-M_alt 'P 4/m b m'
_space_group_IT_number 127
_space_group_name_Hall '-P 4 2ab'
_cell_length_a 6.5543
_cell_length_b 6.5543
_cell_length_c 2.7512
_cell_angle_alpha 90.00
_cell_angle_beta 90.00
_cell_angle_gamma 90.00
loop_
_atom_site_label
_atom_site_fract_x
_atom_site_fract_y
_atom_site_fract_z
_atom_site_occupancy
Be1 0.1227 0.3773 0.0000 1
Tc1 0.0000 0.0000 0.0000 1
Ir1 0.1719 0.6719 0.5000 1
```

Computed properties:
Total magnetization ... 0.0002 μB per atom

***

(4)
BeTl2Ir | GGA-PBE | optimized geometry

```
data_BeTl2Ir
_chemical_formula_sum 'Be4 Tl8 Ir4'
_space_group_name_H-M_alt 'F -4 3 m'
_space_group_IT_number 216
_space_group_name_Hall 'F -4 2 3'
_cell_length_a 6.7221
_cell_length_b 6.7221
_cell_length_c 6.7221
_cell_angle_alpha 90.00
_cell_angle_beta 90.00
_cell_angle_gamma 90.00
loop_
_atom_site_label
_atom_site_fract_x
_atom_site_fract_y
_atom_site_fract_z
_atom_site_occupancy
Be1 0.0000 0.0000 0.0000 1
Tl1 0.0000 0.0000 0.5000 1
Tl2 0.2500 0.2500 0.7500 1
Ir1 0.2500 0.2500 0.2500 1
```

Computed properties:
Total magnetization ... 0.0021 μB per atom

***

(5)
Be2TlIr | GGA-PBE | optimized geometry

```
data_Be2TlIr
_chemical_formula_sum 'Be8 Tl4 Ir4'
_space_group_name_H-M_alt 'F -4 3 m'
_space_group_IT_number 216
_space_group_name_Hall 'F -4 2 3'
_cell_length_a 6.1400
_cell_length_b 6.1400
_cell_length_c 6.1400
_cell_angle_alpha 90.00
_cell_angle_beta 90.00
_cell_angle_gamma 90.00
loop_
_atom_site_label
_atom_site_fract_x
_atom_site_fract_y
_atom_site_fract_z
_atom_site_occupancy
Be1 0.0000 0.0000 0.0000 1
Be2 0.2500 0.2500 0.2500 1
Tl1 0.0000 0.0000 0.5000 1
Ir1 0.2500 0.2500 0.7500 1
```

Computed properties:
Total magnetization ... 0.0004 μB per atom

***

(6)
ZrBeTlIr | GGA-PBE | optimized geometry

```
data_ZrBeTlIr
_chemical_formula_sum 'Zr4 Be4 Tl4 Ir4'
_space_group_name_H-M_alt 'F -4 3 m'
_space_group_IT_number 216
_space_group_name_Hall 'F -4 2 3'
_cell_length_a 6.5300
_cell_length_b 6.5300
_cell_length_c 6.5300
_cell_angle_alpha 90.00
_cell_angle_beta 90.00
_cell_angle_gamma 90.00
loop_
_atom_site_label
_atom_site_fract_x
_atom_site_fract_y
_atom_site_fract_z
_atom_site_occupancy
Zr1 0.0000 0.0000 0.0000 1
Be1 0.0000 0.0000 0.5000 1
Tl1 0.2500 0.2500 0.7500 1
Ir1 0.2500 0.2500 0.2500 1
```

Computed properties:
Total magnetization ... 0.0004 μB per atom

***

(7)
ZrBeTlIr | GGA-PBE | optimized geometry

```
data_ZrBeTlIr
_chemical_formula_sum 'Zr4 Be4 Tl4 Ir4'
_space_group_name_H-M_alt 'F -4 3 m'
_space_group_IT_number 216
_space_group_name_Hall 'F -4 2 3'
_cell_length_a 6.4679
_cell_length_b 6.4679
_cell_length_c 6.4679
_cell_angle_alpha 90.00
_cell_angle_beta 90.00
_cell_angle_gamma 90.00
loop_
_atom_site_label
_atom_site_fract_x
_atom_site_fract_y
_atom_site_fract_z
_atom_site_occupancy
Zr1 0.0000 0.0000 0.0000 1
Be1 0.2500 0.2500 0.2500 1
Tl1 0.2500 0.2500 0.7500 1
Ir1 0.0000 0.0000 0.5000 1
```

Computed properties:
Total magnetization ... 0.0000 μB per atom

***

(8)
ZrBeTlIr | GGA-PBE | optimized geometry

```
data_ZrBeTlIr
_chemical_formula_sum 'Zr4 Be4 Tl4 Ir4'
_space_group_name_H-M_alt 'F -4 3 m'
_space_group_IT_number 216
_space_group_name_Hall 'F -4 2 3'
_cell_length_a 6.4925
_cell_length_b 6.4925
_cell_length_c 6.4925
_cell_angle_alpha 90.00
_cell_angle_beta 90.00
_cell_angle_gamma 90.00
loop_
_atom_site_label
_atom_site_fract_x
_atom_site_fract_y
_atom_site_fract_z
_atom_site_occupancy
Zr1 0.0000 0.0000 0.0000 1
Be1 0.2500 0.2500 0.2500 1
Tl1 0.0000 0.0000 0.5000 1
Ir1 0.2500 0.2500 0.7500 1
```

Computed properties:
Total magnetization ... 0.0000 μB per atom

***

(9)
TmBeIr | GGA-PBE | optimized geometry

```
data_TmBeIr
_chemical_formula_sum 'Tm4 Be4 Ir4'
_space_group_name_H-M_alt 'F -4 3 m'
_space_group_IT_number 216
_space_group_name_Hall 'F -4 2 3'
_cell_length_a 6.2728
_cell_length_b 6.2728
_cell_length_c 6.2728
_cell_angle_alpha 90.00
_cell_angle_beta 90.00
_cell_angle_gamma 90.00
loop_
_atom_site_label
_atom_site_fract_x
_atom_site_fract_y
_atom_site_fract_z
_atom_site_occupancy
Tm1 0.0000 0.0000 0.0000 1
Be1 0.2500 0.2500 0.7500 1
Ir1 0.2500 0.2500 0.2500 1
```

Computed properties:
Total magnetization ... 0.0001 μB per atom

***

(10)
TmBeIr | GGA-PBE | optimized geometry

```
data_TmBeIr
_chemical_formula_sum 'Tm4 Be4 Ir4'
_space_group_name_H-M_alt 'F -4 3 m'
_space_group_IT_number 216
_space_group_name_Hall 'F -4 2 3'
_cell_length_a 5.8976
_cell_length_b 5.8976
_cell_length_c 5.8976
_cell_angle_alpha 90.00
_cell_angle_beta 90.00
_cell_angle_gamma 90.00
loop_
_atom_site_label
_atom_site_fract_x
_atom_site_fract_y
_atom_site_fract_z
_atom_site_occupancy
Tm1 0.0000 0.0000 0.0000 1
Be1 0.2500 0.2500 0.7500 1
Ir1 0.0000 0.0000 0.5000 1
```

Computed properties:
Total magnetization ... 0.0005 μB per atom

***

(11)
BeIrW | GGA-PBE | optimized geometry

```
data_BeIrW
_chemical_formula_sum 'Be4 Ir4 W4'
_space_group_name_H-M_alt 'F -4 3 m'
_space_group_IT_number 216
_space_group_name_Hall 'F -4 2 3'
_cell_length_a 5.7641
_cell_length_b 5.7641
_cell_length_c 5.7641
_cell_angle_alpha 90.00
_cell_angle_beta 90.00
_cell_angle_gamma 90.00
loop_
_atom_site_label
_atom_site_fract_x
_atom_site_fract_y
_atom_site_fract_z
_atom_site_occupancy
Be1 0.0000 0.0000 0.0000 1
Ir1 0.2500 0.2500 0.2500 1
W1 0.0000 0.0000 0.5000 1
```

Computed properties:
Total magnetization ... 0.0019 μB per atom

***

(12)
Be2IrW | GGA-PBE | optimized geometry

```
data_Be2IrW
_chemical_formula_sum 'Be8 Ir4 W4'
_space_group_name_H-M_alt 'F -4 3 m'
_space_group_IT_number 216
_space_group_name_Hall 'F -4 2 3'
_cell_length_a 5.8504
_cell_length_b 5.8504
_cell_length_c 5.8504
_cell_angle_alpha 90.00
_cell_angle_beta 90.00
_cell_angle_gamma 90.00
loop_
_atom_site_label
_atom_site_fract_x
_atom_site_fract_y
_atom_site_fract_z
_atom_site_occupancy
Be1 0.0000 0.0000 0.0000 1
Be2 0.2500 0.2500 0.2500 1
Ir1 0.2500 0.2500 0.7500 1
W1 0.0000 0.0000 0.5000 1
```

Computed properties:
Total magnetization ... 0.0000 μB per atom

***

(13)
BeIrW | GGA-PBE | optimized geometry

```
data_BeIrW
_chemical_formula_sum 'Be4 Ir4 W4'
_space_group_name_H-M_alt 'F -4 3 m'
_space_group_IT_number 216
_space_group_name_Hall 'F -4 2 3'
_cell_length_a 5.7827
_cell_length_b 5.7827
_cell_length_c 5.7827
_cell_angle_alpha 90.00
_cell_angle_beta 90.00
_cell_angle_gamma 90.00
loop_
_atom_site_label
_atom_site_fract_x
_atom_site_fract_y
_atom_site_fract_z
_atom_site_occupancy
Be1 0.0000 0.0000 0.0000 1
Ir1 0.0000 0.0000 0.5000 1
W1 0.2500 0.2500 0.2500 1
```

Computed properties:
Total magnetization ... 0.0003 μB per atom

***

(14)
YBeIr2 | GGA-PBE | optimized geometry

```
data_YBeIr2
_chemical_formula_sum 'Y4 Be4 Ir8'
_space_group_name_H-M_alt 'F -4 3 m'
_space_group_IT_number 216
_space_group_name_Hall 'F -4 2 3'
_cell_length_a 6.3989
_cell_length_b 6.3989
_cell_length_c 6.3989
_cell_angle_alpha 90.00
_cell_angle_beta 90.00
_cell_angle_gamma 90.00
loop_
_atom_site_label
_atom_site_fract_x
_atom_site_fract_y
_atom_site_fract_z
_atom_site_occupancy
Y1 0.0000 0.0000 0.0000 1
Be1 0.2500 0.2500 0.7500 1
Ir1 0.0000 0.0000 0.5000 1
Ir2 0.2500 0.2500 0.2500 1
```

Computed properties:
Total magnetization ... 0.1042 μB per atom

***

(15)
Y2BeIr | GGA-PBE | optimized geometry

```
data_Y2BeIr
_chemical_formula_sum 'Y8 Be4 Ir4'
_space_group_name_H-M_alt 'F -4 3 m'
_space_group_IT_number 216
_space_group_name_Hall 'F -4 2 3'
_cell_length_a 6.6785
_cell_length_b 6.6785
_cell_length_c 6.6785
_cell_angle_alpha 90.00
_cell_angle_beta 90.00
_cell_angle_gamma 90.00
loop_
_atom_site_label
_atom_site_fract_x
_atom_site_fract_y
_atom_site_fract_z
_atom_site_occupancy
Y1 0.0000 0.0000 0.0000 1
Y2 0.2500 0.2500 0.2500 1
Be1 0.0000 0.0000 0.5000 1
Ir1 0.2500 0.2500 0.7500 1
```

Computed properties:
Total magnetization ... 0.0012 μB per atom

***

(16)
YBe2Ir | GGA-PBE | optimized geometry

```
data_YBe2Ir
_chemical_formula_sum 'Y4 Be8 Ir4'
_space_group_name_H-M_alt 'F -4 3 m'
_space_group_IT_number 216
_space_group_name_Hall 'F -4 2 3'
_cell_length_a 6.2800
_cell_length_b 6.2800
_cell_length_c 6.2800
_cell_angle_alpha 90.00
_cell_angle_beta 90.00
_cell_angle_gamma 90.00
loop_
_atom_site_label
_atom_site_fract_x
_atom_site_fract_y
_atom_site_fract_z
_atom_site_occupancy
Y1 0.0000 0.0000 0.0000 1
Be1 0.0000 0.0000 0.5000 1
Be2 0.2500 0.2500 0.7500 1
Ir1 0.2500 0.2500 0.2500 1
```

Computed properties:
Total magnetization ... 0.0002 μB per atom

***

(17)
YBe3Ir2 | GGA-PBE | optimized geometry

```
data_YBe3Ir2
_chemical_formula_sum 'Y4 Be12 Ir8'
_space_group_name_H-M_alt 'C m c m'
_space_group_IT_number 63
_space_group_name_Hall '-C 2c 2'
_cell_length_a 8.7761
_cell_length_b 6.8358
_cell_length_c 5.5622
_cell_angle_alpha 90.00
_cell_angle_beta 90.00
_cell_angle_gamma 90.00
loop_
_atom_site_label
_atom_site_fract_x
_atom_site_fract_y
_atom_site_fract_z
_atom_site_occupancy
Y1 0.0000 0.1713 0.2500 1
Be1 0.0000 0.4221 0.7500 1
Be2 0.1819 0.2170 0.7500 1
Ir1 0.1998 0.5000 0.0000 1
```

Computed properties:
Total magnetization ... 0.0001 μB per atom

***

(18)
YZrBeIr | GGA-PBE | optimized geometry

```
data_YZrBeIr
_chemical_formula_sum 'Y4 Zr4 Be4 Ir4'
_space_group_name_H-M_alt 'F -4 3 m'
_space_group_IT_number 216
_space_group_name_Hall 'F -4 2 3'
_cell_length_a 6.5256
_cell_length_b 6.5256
_cell_length_c 6.5256
_cell_angle_alpha 90.00
_cell_angle_beta 90.00
_cell_angle_gamma 90.00
loop_
_atom_site_label
_atom_site_fract_x
_atom_site_fract_y
_atom_site_fract_z
_atom_site_occupancy
Y1 0.0000 0.0000 0.0000 1
Zr1 0.2500 0.2500 0.2500 1
Be1 0.2500 0.2500 0.7500 1
Ir1 0.0000 0.0000 0.5000 1
```

Computed properties:
Total magnetization ... 0.0000 μB per atom

***

(19)
YZrBeIr | GGA-PBE | optimized geometry

```
data_YZrBeIr
_chemical_formula_sum 'Y4 Zr4 Be4 Ir4'
_space_group_name_H-M_alt 'F -4 3 m'
_space_group_IT_number 216
_space_group_name_Hall 'F -4 2 3'
_cell_length_a 6.6947
_cell_length_b 6.6947
_cell_length_c 6.6947
_cell_angle_alpha 90.00
_cell_angle_beta 90.00
_cell_angle_gamma 90.00
loop_
_atom_site_label
_atom_site_fract_x
_atom_site_fract_y
_atom_site_fract_z
_atom_site_occupancy
Y1 0.0000 0.0000 0.0000 1
Zr1 0.0000 0.0000 0.5000 1
Be1 0.2500 0.2500 0.7500 1
Ir1 0.2500 0.2500 0.2500 1
```

Computed properties:
Total magnetization ... 0.0002 μB per atom

***

(20)
BeZnIr2 | GGA-PBE | optimized geometry

```
data_BeZnIr2
_chemical_formula_sum 'Be4 Zn4 Ir8'
_space_group_name_H-M_alt 'F -4 3 m'
_space_group_IT_number 216
_space_group_name_Hall 'F -4 2 3'
_cell_length_a 5.9887
_cell_length_b 5.9887
_cell_length_c 5.9887
_cell_angle_alpha 90.00
_cell_angle_beta 90.00
_cell_angle_gamma 90.00
loop_
_atom_site_label
_atom_site_fract_x
_atom_site_fract_y
_atom_site_fract_z
_atom_site_occupancy
Be1 0.0000 0.0000 0.0000 1
Zn1 0.2500 0.2500 0.2500 1
Ir1 0.0000 0.0000 0.5000 1
Ir2 0.2500 0.2500 0.7500 1
```

Computed properties:
Total magnetization ... 0.0015 μB per atom

***

| no. | energy (eV per cell) |
| --- | --- |
| 1 | -79.61 |
| 2 | -133.44 |
| 3 | -74.59 |
| 4 | -56.58 |
| 5 | -65.89 |
| 6 | -93.22 |
| 7 | -92.29 |
| 8 | -94.76 |
| 9 | -62.83 |
| 10 | -72.26 |
| 11 | -100.71 |
| 12 | -117.15 |
| 13 | -96.39 |
| 14 | -111.69 |
| 15 | -104.18 |
| 16 | -90.56 |
| 17 | -156.70 |
| 18 | -114.63 |
| 19 | -115.87 |
| 20 | -89.22 |